DFT (PBE+U) results for crystalline VSbO3 at its relaxed geometry.

Cell and atoms, written as CIF:
```
data_VSbO3
_cell_length_a 4.083
_cell_length_b 4.083
_cell_length_c 4.083
_cell_angle_alpha 90.00
_cell_angle_beta 90.00
_cell_angle_gamma 90.00
_symmetry_space_group_name_H-M 'P 1'
_symmetry_Int_Tables_number 1
loop_
_symmetry_equiv_pos_as_xyz
'x,y,z'
loop_
_atom_site_label
_atom_site_fract_x
_atom_site_fract_y
_atom_site_fract_z
V1 0.000 0.000 0.000
Sb1 0.500 0.500 0.500
O1 0.000 0.500 0.500
O2 0.500 0.000 0.500
O3 0.500 0.500 0.000
```

Output
The magnetization comes out at 3.4 μB/cell. As for the mass density: 5.39 g cm⁻³. For the total energy, the calculation gives -5.966 eV per atom.